# 1
Material: TeRhCl2
Method: DFT, PBE
State: optimized geometry Values from VASP.

Quantum ESPRESSO input file:
```
&SYSTEM
  ibrav = 0, nat = 4, ntyp = 3
/
ATOMIC_SPECIES
Te 127.60 Te.upf
Rh 102.91 Rh.upf
Cl 35.45 Cl.upf
CELL_PARAMETERS angstrom
-1.909 1.771 -2.049
2.329 -2.047 -1.166
-7.253 -8.107 -0.251
ATOMIC_POSITIONS crystal
Te 0.500 0.500 0.750
Rh 0.500 0.500 0.250
Cl 0.000 0.000 0.095
Cl 0.000 0.000 0.405
```

Computed properties:
- Calculated volume: 25.54 A^3/atom
- Uncorrected formation energy: -6 meV per atom
- E above lowest polymorph: 0.405 eV per atom
- ρ: 4.9 g/cm3



# 2
Material: Rb2CdGa2
Method: DFT, PBE
State: optimized geometry Values from VASP.

Quantum ESPRESSO input file:
```
&SYSTEM
  ibrav = 0, nat = 5, ntyp = 3
/
ATOMIC_SPECIES
Ga 69.72 Ga.upf
Rb 85.47 Rb.upf
Cd 112.41 Cd.upf
CELL_PARAMETERS angstrom
-1.659 0.200 6.955
6.753 -1.675 1.659
3.472 3.100 4.417
ATOMIC_POSITIONS crystal
Ga 0.349 0.349 0.302
Ga 0.651 0.651 0.698
Rb 0.750 0.250 0.500
Rb 0.250 0.750 0.500
Cd 0.000 0.000 0.000
```

Computed properties:
- Calculated volume: 40.41 A^3/atom
- E above lowest polymorph: 0.137 eV per atom
- ρ: 3.5 g/cm3
- Calculated formation energy: 0.7 eV per formula unit



# 3
Material: PtSeBr
Method: DFT, PBE
State: optimized geometry Values from VASP.

Quantum ESPRESSO input file:
```
&SYSTEM
  ibrav = 0, nat = 3, ntyp = 3
/
ATOMIC_SPECIES
Br 79.90 Br.upf
Pt 195.08 Pt.upf
Se 78.96 Se.upf
CELL_PARAMETERS angstrom
-4.992 3.913 -4.375
-7.208 2.674 -0.516
6.759 -1.324 3.456
ATOMIC_POSITIONS crystal
Br 0.993 0.993 0.000
Pt 0.286 0.286 0.000
Se 0.721 0.721 0.000
```

Computed properties:
- Calculated volume: 26.14 A^3/atom
- Uncorrected formation energy: 195 meV per atom
- ρ: 7.5 g/cm3



# 4
Material: Ho2InGa3
Method: DFT, PBE
State: optimized geometry Values from VASP.

Quantum ESPRESSO input file:
```
&SYSTEM
  ibrav = 0, nat = 12, ntyp = 3
/
ATOMIC_SPECIES
Ho 164.93 Ho.upf
In 114.82 In.upf
Ga 69.72 Ga.upf
CELL_PARAMETERS angstrom
-3.625 -2.832 3.500
2.643 -4.271 -2.860
6.072 3.280 5.242
ATOMIC_POSITIONS crystal
Ho 0.250 0.750 0.500
Ho 0.752 0.752 0.000
Ho 0.750 0.250 0.500
Ho 0.248 0.248 0.000
In 0.666 0.666 0.333
In 0.334 0.334 0.667
Ga 0.325 0.837 0.162
Ga 0.163 0.675 0.838
Ga 0.675 0.163 0.838
Ga 0.837 0.325 0.162
Ga 0.163 0.163 0.325
Ga 0.837 0.837 0.675
```

Computed properties:
- Calculated volume: 21.39 A^3/atom
- ρ: 8.5 g/cm3
- Calculated formation energy: -3.1 eV per formula unit